1.
This record from Alexandria via LeMat-Bulk describes SmCu2O4 after structural relaxation. The functional is GGA-PBE.

For the volume, the calculation gives 11.623 Å³ per atom. The offset from the most stable computed form is 0.0 meV per atom. The theoretical density is 6.97 Mg/m³.

It has space group I4_1/a (No. 88, origin choice 2), with a = 5.7877 Å, b = 5.7877 Å, c = 9.7159 Å, α = 90.00°, β = 90.00° and γ = 90.00°. The inequivalent atoms are Sm at (0.0000, 0.2500, 0.1250), Cu at (0.0000, 0.0000, 0.5000) and O at (0.1458, 0.4643, 0.3238).

=====

2.
This record from Alexandria via LeMat-Bulk describes Sm4CuO7 after structural relaxation. The functional is GGA-PBE.

For the volume, the calculation gives 14.105 Å³ per atom. The theoretical density is 7.62 Mg/m³. Its total energy is -7.75 eV per atom.

It has space group C2/m (No. 12), with a = 12.9067 Å, b = 3.9658 Å, c = 9.0803 Å, α = 90.00°, β = 133.25° and γ = 90.00°. The inequivalent atoms are Sm at (0.0854, 0.0000, 0.3923), Sm at (0.2453, 0.0000, 0.1543), Cu at (0.0000, 0.5000, 0.0000), O at (0.0000, 0.0000, 0.0000), O at (0.0884, 0.5000, 0.8940), O at (0.1335, 0.0000, 0.6977) and O at (0.2038, 0.5000, 0.5548).